[1]
VASP calculation (PBE-GGA) on crystalline Zn5I3F12 at its relaxed geometry.

Cell: 12.1980 12.1980 12.1980 Å, 109.47 109.47 109.47°
Sites, in units of the cell vectors:
1 Zn 0.0000 0.0000 0.0000
2 Zn 0.0000 0.0000 0.5000
3 Zn 0.0000 0.5000 0.0000
4 Zn 0.0000 0.5000 0.5000
5 Zn 0.1250 0.7500 0.8750
6 Zn 0.1250 0.8750 0.2500
7 Zn 0.2500 0.1250 0.8750
8 Zn 0.2500 0.6250 0.3750
9 Zn 0.3750 0.2500 0.6250
10 Zn 0.3750 0.6250 0.7500
11 Zn 0.5000 0.0000 0.0000
12 Zn 0.5000 0.0000 0.5000
13 Zn 0.5000 0.5000 0.0000
14 Zn 0.5000 0.5000 0.5000
15 Zn 0.6250 0.3750 0.2500
16 Zn 0.6250 0.7500 0.3750
17 Zn 0.7500 0.3750 0.6250
18 Zn 0.7500 0.8750 0.1250
19 Zn 0.8750 0.1250 0.7500
20 Zn 0.8750 0.2500 0.1250
21 I 0.1250 0.2500 0.3750
22 I 0.1250 0.3750 0.7500
23 I 0.2500 0.3750 0.1250
24 I 0.2500 0.8750 0.6250
25 I 0.3750 0.1250 0.2500
26 I 0.3750 0.7500 0.1250
27 I 0.6250 0.2500 0.8750
28 I 0.6250 0.8750 0.7500
29 I 0.7500 0.1250 0.3750
30 I 0.7500 0.6250 0.8750
31 I 0.8750 0.6250 0.2500
32 I 0.8750 0.7500 0.6250
33 F 0.0175 0.6829 0.1193
34 F 0.0175 0.8345 0.8982
35 F 0.0636 0.6655 0.6829
36 F 0.0636 0.8982 0.3807
37 F 0.1018 0.6193 0.9364
38 F 0.1018 0.9825 0.1655
39 F 0.1193 0.0175 0.6829
40 F 0.1193 0.6018 0.4364
41 F 0.1655 0.1018 0.9825
42 F 0.1655 0.5636 0.1829
43 F 0.1829 0.1655 0.5636
44 F 0.1829 0.5175 0.6193
45 F 0.3171 0.8807 0.9825
46 F 0.3171 0.9364 0.3345
47 F 0.3345 0.3171 0.9364
48 F 0.3345 0.5175 0.3982
49 F 0.3807 0.0636 0.8982
50 F 0.3807 0.8171 0.4825
51 F 0.3982 0.3345 0.5175
52 F 0.3982 0.5636 0.8807
53 F 0.4364 0.1193 0.6018
54 F 0.4364 0.8171 0.8345
55 F 0.4825 0.3807 0.8171
56 F 0.4825 0.6018 0.6655
57 F 0.5175 0.3982 0.3345
58 F 0.5175 0.6193 0.1829
59 F 0.5636 0.1829 0.1655
60 F 0.5636 0.8807 0.3982
61 F 0.6018 0.4364 0.1193
62 F 0.6018 0.6655 0.4825
63 F 0.6193 0.1829 0.5175
64 F 0.6193 0.9364 0.1018
65 F 0.6655 0.4825 0.6018
66 F 0.6655 0.6829 0.0636
67 F 0.6829 0.0636 0.6655
68 F 0.6829 0.1193 0.0175
69 F 0.8171 0.4825 0.3807
70 F 0.8171 0.8345 0.4364
71 F 0.8345 0.4364 0.8171
72 F 0.8345 0.8982 0.0175
73 F 0.8807 0.3982 0.5636
74 F 0.8807 0.9825 0.3171
75 F 0.8982 0.0175 0.8345
76 F 0.8982 0.3807 0.0636
77 F 0.9364 0.1018 0.6193
78 F 0.9364 0.3345 0.3171
79 F 0.9825 0.1655 0.1018
80 F 0.9825 0.3171 0.8807

Computed properties:
As for the space group: Ia-3d, No. 230. The total energy comes out at -3.245 eV per atom. The calculation puts the total magnetization at 5.05 μB/f.u. For the calculated density, the calculation gives 4.45 Mg/m³. As for the formation energy (no corrections): -1.571 eV/atom.

***

[2]
VASP calculation (PBE-GGA) on crystalline ZnI3F at its relaxed geometry.

Cell: 5.5206 5.5206 5.5206 Å, 90.00 90.00 90.00°
Sites, in units of the cell vectors:
1 Zn 0.0000 0.0000 0.0000
2 I 0.0000 0.0000 0.5000
3 I 0.0000 0.5000 0.0000
4 I 0.5000 0.0000 0.0000
5 F 0.5000 0.5000 0.5000

Computed properties:
As for the space group: Pm-3m, No. 221. The total energy comes out at -1.568 eV per atom. The calculation puts the total magnetization at 1.25 μB/f.u. For the offset from the most stable computed form, the calculation gives 0.000 eV per atom. For the calculated density, the calculation gives 4.59 Mg/m³. As for the formation energy (no corrections): -0.009 eV/atom.

***

[3]
VASP calculation (PBE-GGA) on crystalline ZnI3F at its relaxed geometry.

Cell: 5.3385 5.3385 5.3385 Å, 90.00 90.00 90.00°
Sites, in units of the cell vectors:
1 Zn 0.0000 0.0000 0.0000
2 I 0.0000 0.5000 0.5000
3 I 0.5000 0.0000 0.5000
4 I 0.5000 0.5000 0.0000
5 F 0.5000 0.5000 0.5000

Computed properties:
As for the space group: Pm-3m, No. 221. The total energy comes out at -1.303 eV per atom. The calculation puts the total magnetization at 0.00 μB/f.u. For the offset from the most stable computed form, the calculation gives 0.265 eV per atom. For the calculated density, the calculation gives 5.08 Mg/m³. As for the formation energy (no corrections): 0.256 eV/atom.

***

[4]
VASP calculation (PBE-GGA) on crystalline Zn2IF at its relaxed geometry.

Cell: 8.1323 8.1323 8.1323 Å, 143.74 143.74 52.22°
Sites, in units of the cell vectors:
1 Zn 0.3750 0.2262 0.3512
2 Zn 0.7738 0.1250 0.1488
3 Zn 0.8750 0.0238 0.6488
4 Zn 0.9762 0.6250 0.8512
5 I 0.2500 0.7500 0.5000
6 I 0.5000 0.5000 0.0000
7 F 0.0000 0.0000 0.0000
8 F 0.7500 0.2500 0.5000

Computed properties:
As for the space group: I-42d, No. 122. The total energy comes out at -2.085 eV per atom. The calculation puts the total magnetization at 0.00 μB/f.u. For the offset from the most stable computed form, the calculation gives 0.000 eV per atom. For the calculated density, the calculation gives 4.91 Mg/m³. As for the formation energy (no corrections): -0.593 eV/atom.

***

[5]
VASP calculation (PBE-GGA) on crystalline Zn5I12F3 at its relaxed geometry.

Cell: 14.9028 14.9028 14.9028 Å, 109.47 109.47 109.47°
Sites, in units of the cell vectors:
1 Zn 0.0000 0.0000 0.0000
2 Zn 0.0000 0.0000 0.5000
3 Zn 0.0000 0.5000 0.0000
4 Zn 0.0000 0.5000 0.5000
5 Zn 0.1250 0.7500 0.8750
6 Zn 0.1250 0.8750 0.2500
7 Zn 0.2500 0.1250 0.8750
8 Zn 0.2500 0.6250 0.3750
9 Zn 0.3750 0.2500 0.6250
10 Zn 0.3750 0.6250 0.7500
11 Zn 0.5000 0.0000 0.0000
12 Zn 0.5000 0.0000 0.5000
13 Zn 0.5000 0.5000 0.0000
14 Zn 0.5000 0.5000 0.5000
15 Zn 0.6250 0.3750 0.2500
16 Zn 0.6250 0.7500 0.3750
17 Zn 0.7500 0.3750 0.6250
18 Zn 0.7500 0.8750 0.1250
19 Zn 0.8750 0.1250 0.7500
20 Zn 0.8750 0.2500 0.1250
21 I 0.0354 0.2184 0.1119
22 I 0.0354 0.3170 0.9235
23 I 0.0765 0.6119 0.3935
24 I 0.0765 0.9646 0.6830
25 I 0.1065 0.7184 0.6830
26 I 0.1065 0.8881 0.4235
27 I 0.1119 0.0354 0.2184
28 I 0.1119 0.5765 0.8935
29 I 0.1830 0.2184 0.6065
30 I 0.1830 0.4646 0.5765
31 I 0.2184 0.1119 0.0354
32 I 0.2184 0.6065 0.1830
33 I 0.2816 0.3170 0.8935
34 I 0.2816 0.4646 0.3881
35 I 0.3170 0.8935 0.2816
36 I 0.3170 0.9235 0.0354
37 I 0.3881 0.2816 0.4646
38 I 0.3881 0.6065 0.9235
39 I 0.3935 0.0765 0.6119
40 I 0.3935 0.8170 0.7816
41 I 0.4235 0.1065 0.8881
42 I 0.4235 0.8170 0.5354
43 I 0.4646 0.3881 0.2816
44 I 0.4646 0.5765 0.1830
45 I 0.5354 0.4235 0.8170
46 I 0.5354 0.6119 0.7184
47 I 0.5765 0.1830 0.4646
48 I 0.5765 0.8935 0.1119
49 I 0.6065 0.1830 0.2184
50 I 0.6065 0.9235 0.3881
51 I 0.6119 0.3935 0.0765
52 I 0.6119 0.7184 0.5354
53 I 0.6830 0.0765 0.9646
54 I 0.6830 0.1065 0.7184
55 I 0.7184 0.5354 0.6119
56 I 0.7184 0.6830 0.1065
57 I 0.7816 0.3935 0.8170
58 I 0.7816 0.8881 0.9646
59 I 0.8170 0.5354 0.4235
60 I 0.8170 0.7816 0.3935
61 I 0.8881 0.4235 0.1065
62 I 0.8881 0.9646 0.7816
63 I 0.8935 0.1119 0.5765
64 I 0.8935 0.2816 0.3170
65 I 0.9235 0.0354 0.3170
66 I 0.9235 0.3881 0.6065
67 I 0.9646 0.6830 0.0765
68 I 0.9646 0.7816 0.8881
69 F 0.1250 0.2500 0.3750
70 F 0.1250 0.3750 0.7500
71 F 0.2500 0.3750 0.1250
72 F 0.2500 0.8750 0.6250
73 F 0.3750 0.1250 0.2500
74 F 0.3750 0.7500 0.1250
75 F 0.6250 0.2500 0.8750
76 F 0.6250 0.8750 0.7500
77 F 0.7500 0.1250 0.3750
78 F 0.7500 0.6250 0.8750
79 F 0.8750 0.6250 0.2500
80 F 0.8750 0.7500 0.6250

Computed properties:
As for the space group: Ia-3d, No. 230. The total energy comes out at -1.824 eV per atom. The calculation puts the total magnetization at 5.01 μB/f.u. For the calculated density, the calculation gives 4.97 Mg/m³. As for the formation energy (no corrections): -0.295 eV/atom.

***

[6]
VASP calculation (PBE-GGA) on crystalline ZrIF4 at its relaxed geometry.

Cell: 9.6705 9.6705 6.0906 Å, 96.39 96.39 33.97°
Sites, in units of the cell vectors:
1 Zr 0.0746 0.0746 0.3381
2 Zr 0.9254 0.9254 0.6619
3 I 0.2585 0.2585 0.0660
4 I 0.7415 0.7415 0.9340
5 F 0.1611 0.1611 0.5471
6 F 0.1770 0.6718 0.8730
7 F 0.2132 0.7868 0.5000
8 F 0.3282 0.8230 0.1270
9 F 0.6718 0.1770 0.8730
10 F 0.7868 0.2132 0.5000
11 F 0.8230 0.3282 0.1270
12 F 0.8389 0.8389 0.4529

Computed properties:
As for the space group: C2/m, No. 12. The total energy comes out at -5.795 eV per atom. The calculation puts the total magnetization at 0.00 μB/f.u. For the calculated density, the calculation gives 3.09 Mg/m³. As for the formation energy (no corrections): -2.865 eV/atom.

***

[7]
VASP calculation (PBE-GGA) on crystalline ZrIF6 at its relaxed geometry.

Cell: 5.5988 5.7491 5.8409 Å, 84.90 62.41 66.59°
Sites, in units of the cell vectors:
1 Zr 0.0000 0.0000 0.0000
2 I 0.0000 0.5000 0.5000
3 F 0.1809 0.7403 0.6881
4 F 0.1846 0.7045 0.1997
5 F 0.3482 0.0855 0.8354
6 F 0.6518 0.9145 0.1646
7 F 0.8154 0.2955 0.8003
8 F 0.8191 0.2597 0.3119

Computed properties:
As for the space group: P-1, No. 2. The total energy comes out at -5.199 eV per atom. The calculation puts the total magnetization at 1.00 μB/f.u. For the calculated density, the calculation gives 3.63 Mg/m³. As for the formation energy (no corrections): -2.533 eV/atom.

***

[8]
VASP calculation (PBE-GGA) on crystalline Zr2IF at its relaxed geometry.

Cell: 4.7871 4.7871 4.7871 Å, 60.00 60.00 60.00°
Sites, in units of the cell vectors:
1 Zr 0.2500 0.2500 0.2500
2 Zr 0.7500 0.7500 0.7500
3 I 0.0000 0.0000 0.0000
4 F 0.5000 0.5000 0.5000

Computed properties:
As for the space group: Fm-3m, No. 225. The total energy comes out at -5.641 eV per atom. The calculation puts the total magnetization at 0.00 μB/f.u. For the offset from the most stable computed form, the calculation gives 0.021 eV per atom. For the calculated density, the calculation gives 7.03 Mg/m³. As for the formation energy (no corrections): -0.512 eV/atom.